Entry 1:
The following is a PBE-GGA calculation of an optimized crystal structure of BaCd2Au2, from Alexandria via LeMat-Bulk.

```
data_BaCd2Au2
_chemical_formula_sum 'Ba2 Cd4 Au4'
_symmetry_space_group_name_H-M 'I 4/m m m'
_symmetry_Int_Tables_number 139
_symmetry_space_group_name_Hall '-I 4 2'
_cell_length_a 5.1922
_cell_length_b 5.1922
_cell_length_c 10.1748
_cell_angle_alpha 90.00
_cell_angle_beta 90.00
_cell_angle_gamma 90.00
loop_
_atom_site_label
_atom_site_type_symbol
_atom_site_fract_x
_atom_site_fract_y
_atom_site_fract_z
_atom_site_occupancy
Ba1 Ba 0.0000 0.0000 0.0000 1
Cd1 Cd 0.0000 0.0000 0.3602 1
Au1 Au 0.0000 0.5000 0.2500 1
```

***

Entry 2:
The following is a PBE-GGA calculation of an optimized crystal structure of CsSi3Ge, from Alexandria via LeMat-Bulk.

```
data_CsSi3Ge
_chemical_formula_sum 'Cs1 Si3 Ge1'
_symmetry_space_group_name_H-M 'P m -3 m'
_symmetry_Int_Tables_number 221
_symmetry_space_group_name_Hall '-P 4 2 3'
_cell_length_a 5.5433
_cell_length_b 5.5433
_cell_length_c 5.5433
_cell_angle_alpha 90.00
_cell_angle_beta 90.00
_cell_angle_gamma 90.00
loop_
_atom_site_label
_atom_site_type_symbol
_atom_site_fract_x
_atom_site_fract_y
_atom_site_fract_z
_atom_site_occupancy
Cs1 Cs 0.0000 0.0000 0.0000 1
Si1 Si 0.0000 0.0000 0.5000 1
Ge1 Ge 0.5000 0.5000 0.5000 1
```

***

Entry 3:
The following is a PBE-GGA calculation of an optimized crystal structure of Ce5YTh4, from Alexandria via LeMat-Bulk.

```
data_Ce5YTh4
_chemical_formula_sum 'Ce5 Y1 Th4'
_symmetry_space_group_name_H-M 'P 4/m m m'
_symmetry_Int_Tables_number 123
_symmetry_space_group_name_Hall '-P 4 2'
_cell_length_a 3.4840
_cell_length_b 3.4840
_cell_length_c 24.5508
_cell_angle_alpha 90.00
_cell_angle_beta 90.00
_cell_angle_gamma 90.00
loop_
_atom_site_label
_atom_site_type_symbol
_atom_site_fract_x
_atom_site_fract_y
_atom_site_fract_z
_atom_site_occupancy
Ce1 Ce 0.0000 0.0000 0.0000 1
Ce2 Ce 0.0000 0.0000 0.1975 1
Ce3 Ce 0.0000 0.0000 0.3943 1
Y1 Y 0.5000 0.5000 0.5000 1
Th1 Th 0.5000 0.5000 0.0986 1
Th2 Th 0.5000 0.5000 0.2965 1
```

***

Entry 4:
The following is a PBE-GGA calculation of an optimized crystal structure of LiZr2Sc2, from Alexandria via LeMat-Bulk.

```
data_LiZr2Sc2
_chemical_formula_sum 'Li2 Zr4 Sc4'
_symmetry_space_group_name_H-M 'P 4/m b m'
_symmetry_Int_Tables_number 127
_symmetry_space_group_name_Hall '-P 4 2ab'
_cell_length_a 8.5727
_cell_length_b 8.5727
_cell_length_c 3.3561
_cell_angle_alpha 90.00
_cell_angle_beta 90.00
_cell_angle_gamma 90.00
loop_
_atom_site_label
_atom_site_type_symbol
_atom_site_fract_x
_atom_site_fract_y
_atom_site_fract_z
_atom_site_occupancy
Li1 Li 0.0000 0.0000 0.0000 1
Zr1 Zr 0.1203 0.3797 0.0000 1
Sc1 Sc 0.1739 0.6739 0.5000 1
```

***

Entry 5:
The following is a PBE-GGA calculation of an optimized crystal structure of CeDy2Co, from Alexandria via LeMat-Bulk.

```
data_CeDy2Co
_chemical_formula_sum 'Ce3 Dy6 Co3'
_symmetry_space_group_name_H-M 'R -3 m'
_symmetry_Int_Tables_number 166
_symmetry_space_group_name_Hall '-R 3 2"'
_cell_length_a 3.5175
_cell_length_b 3.5175
_cell_length_c 30.7032
_cell_angle_alpha 90.00
_cell_angle_beta 90.00
_cell_angle_gamma 120.00
loop_
_atom_site_label
_atom_site_type_symbol
_atom_site_fract_x
_atom_site_fract_y
_atom_site_fract_z
_atom_site_occupancy
Ce1 Ce 0.0000 0.0000 0.0000 1
Dy1 Dy 0.0000 0.0000 0.1121 1
Co1 Co 0.0000 0.0000 0.5000 1
```

***

Calculated raw total energy (eV per atom), listed in the same order as above: -2.5149, -1.9902, -6.5499, -6.0254, -5.3718
Calculated total magnetic moment (Bohr magnetons per cell), listed in the same order as above: 0.00, 0.00, 0.00, 0.00, 4.27